(1)
SbMoAs: relaxed, PBE-GGA.

The structure in POSCAR format:
```
SbMoAs
1.0
-1.590 1.590 6.270
1.590 -1.590 6.270
1.590 1.590 -6.270
Sb Mo As
1 1 1
direct
0.000 0.000 0.000
0.348 0.348 0.000
0.741 0.741 0.000
```

Properties
- E_form (uncorrected): 0.051 eV/atom


(2)
Mg2BC: relaxed, PBE-GGA.

The structure in POSCAR format:
```
Mg2BC
1.0
2.516 -1.444 0.000
2.516 1.444 0.000
-1.723 0.000 6.473
Mg B C
2 1 1
direct
0.000 0.000 0.000
0.198 0.198 0.592
0.768 0.768 0.298
0.434 0.434 0.294
```

Properties
- ΔH_f (0 K): 0.085 eV per atom


Fermi-level density of states / states/eV/f.u.: 1.52, 1.09
Uncorrected energy / eV per atom: -6.48, -4.69